Record 1
This record from OQMD describes crystalline PrFeOs at its relaxed geometry. The functional is GGA-PBE.

a b c (Å): 4.4463 4.4463 4.4463
angles (deg): 60.00 60.00 60.00
Last column: nearest neighbours and their distance in Å.
Fractional positions:
1 Pr 0.7500 0.7500 0.7500  4 Fe 2.72
2 Fe 0.0000 0.0000 0.0000  4 Os 2.72, 4 Pr 2.72
3 Os 0.2500 0.2500 0.2500  4 Fe 2.72

Results
As for the total magnetization: 3.38 μB/cell. The energy above the most stable polymorph in this dataset is 0.000 eV/f.u. The calculated formation energy comes out at 0.6446 eV/atom.



Record 2
This record from OQMD describes crystalline AlHg5O4 at its relaxed geometry. The functional is GGA-PBE.

a b c (Å): 3.1481 5.4749 10.4341
angles (deg): 78.04 81.97 85.06
Last column: nearest neighbours and their distance in Å.
Fractional positions:
1 O 0.3175 0.5356 0.9288  1 Al 1.79
2 Hg 0.7739 0.8231 0.9719  2 O 2.28-2.37
3 Hg 0.6057 0.3267 0.2955  1 O 2.40
4 O 0.4891 0.1318 0.7765  1 Al 1.80
5 Al 0.4221 0.4643 0.7671  4 O 1.79-1.81
6 Hg 0.9473 0.0552 0.6215  2 O 2.10
7 Hg 0.9302 0.6670 0.4177  2 O 2.29-2.46
8 O 0.9405 0.5734 0.6915  2 Al 1.80-1.81
9 O 0.3271 0.9726 0.4522  2 Hg 2.10-2.29
10 Hg 0.2020 0.1578 0.0923  1 O 2.41

Results
The energy above the most stable polymorph in this dataset is 0.038 eV/f.u.



Record 3
This record from OQMD describes crystalline GdSnF6 at its relaxed geometry. The functional is GGA-PBE.

a b c (Å): 5.0263 5.0934 5.7237
angles (deg): 89.79 64.50 60.68
Last column: nearest neighbours and their distance in Å.
Fractional positions:
1 F 0.8092 0.9354 0.7402  1 Sn 2.13, 1 Gd 2.19
2 F 0.8083 0.7398 0.2493  1 Sn 2.12, 1 Gd 2.18
3 F 0.4954 0.4379 0.2467  1 Sn 2.13, 1 Gd 2.19
4 Gd 0.0000 0.0000 0.0000  6 F 2.18-2.19
5 Sn 0.0000 0.5000 0.5000  6 F 2.12-2.13
6 F 0.1917 0.2602 0.7507  1 Sn 2.12, 1 Gd 2.18
7 F 0.1908 0.0646 0.2598  1 Sn 2.13, 1 Gd 2.19
8 F 0.5046 0.5621 0.7533  1 Sn 2.13, 1 Gd 2.19

Results
As for the total magnetization: 0.77 μB/cell. The calculation puts the total energy at -44.1 eV/cell.



Record 4
This record from OQMD describes crystalline Tl3Ni at its relaxed geometry. The functional is GGA-PBE.

a b c (Å): 5.6837 5.6837 5.6837
angles (deg): 132.72 132.72 69.09
Last column: nearest neighbours and their distance in Å.
Fractional positions:
1 Ni 0.0000 0.0000 0.0000  12 Tl 3.22-3.27
2 Tl 0.5000 0.5000 0.0000  4 Ni 3.22, 8 Tl 3.27
3 Tl 0.2500 0.7500 0.5000  8 Tl 3.22-3.27, 4 Ni 3.27
4 Tl 0.7500 0.2500 0.5000  8 Tl 3.22-3.27, 4 Ni 3.27

Results
As for the total magnetization: 0.00 μB/cell. The calculation puts the total energy at -11.0 eV/cell.



Record 5
This record from OQMD describes crystalline LuCuPdPb at its relaxed geometry. The functional is GGA-PBE.

a b c (Å): 4.7817 4.7817 4.7817
angles (deg): 60.00 60.00 60.00
Last column: nearest neighbours and their distance in Å.
Fractional positions:
1 Cu 0.7500 0.7500 0.7500  4 Pd 2.93, 4 Lu 2.93
2 Pd 0.0000 0.0000 0.0000  4 Cu 2.93, 4 Pb 2.93
3 Pb 0.2500 0.2500 0.2500  4 Lu 2.93, 4 Pd 2.93
4 Lu 0.5000 0.5000 0.5000  4 Pb 2.93, 4 Cu 2.93

Results
As for the total magnetization: 0.00 μB/cell. The energy above the most stable polymorph in this dataset is 0.634 eV/f.u.



Record 6
This record from OQMD describes crystalline Tb11In6Si4 at its relaxed geometry. The functional is GGA-PBE.

a b c (Å): 11.5095 11.5095 11.5095
angles (deg): 119.85 119.85 90.26
Last column: nearest neighbours and their distance in Å.
Fractional positions:
1 Tb 0.5651 0.3150 0.2501  3 Si 3.07-3.20, 4 In 3.37-3.44
2 Tb 0.6668 0.6668 0.3336  2 Si 2.83
3 In 0.1286 0.8714 0.0000  4 In 2.97-3.05
4 In 0.6230 0.0352 0.0000  2 In 2.94-3.05, 2 Tb 3.10
5 Tb 0.5515 0.8993 0.6522  3 Si 2.98-2.99, 2 In 3.10, 1 Tb 3.27
6 In 0.8714 0.1286 0.0000  4 In 2.97-3.05
7 Si 0.3803 0.3803 0.0000  8 Tb 3.07-3.34
8 Tb 0.3150 0.0648 0.7499  3 Si 3.07-3.20, 4 In 3.37-3.44
9 In 0.0352 0.6230 0.0000  2 In 2.94-3.05, 2 Tb 3.10
10 In 0.0352 0.0352 0.4123  2 In 2.94-3.05, 2 Tb 3.10
11 Tb 0.8993 0.5515 0.6522  3 Si 2.98-2.99, 2 In 3.10, 1 Tb 3.27
12 Tb 0.6850 0.4349 0.7499  3 Si 3.07-3.20, 4 In 3.37-3.44
13 Tb 0.8993 0.2472 0.3478  3 Si 2.98-2.99, 2 In 3.10, 1 Tb 3.27
14 Tb 0.6668 0.3332 0.0000  2 Si 2.83
15 Si 0.1534 0.5000 0.6534  6 Tb 2.83-2.98
16 Tb 0.3332 0.6668 0.0000  2 Si 2.83
17 Tb 0.1007 0.4485 0.3478  3 Si 2.98-2.99, 2 In 3.10, 1 Tb 3.27
18 Tb 0.6850 0.9352 0.2501  3 Si 3.07-3.20, 4 In 3.37-3.44
19 In 0.8714 0.8714 0.7428  4 In 2.97-3.05
20 Si 0.8466 0.5000 0.3466  6 Tb 2.83-2.98
21 Tb 0.4485 0.1007 0.3478  3 Si 2.98-2.99, 2 In 3.10, 1 Tb 3.27
22 Si 0.5000 0.8466 0.3466  6 Tb 2.83-2.98
23 Si 0.7500 0.2500 0.5000  8 Tb 2.99-3.07
24 Tb 0.1007 0.7528 0.6522  3 Si 2.98-2.99, 2 In 3.10, 1 Tb 3.27
25 Tb 0.9352 0.6850 0.2501  3 Si 3.07-3.20, 4 In 3.37-3.44
26 In 0.1286 0.1286 0.2572  4 In 2.97-3.05
27 Tb 0.7528 0.1007 0.6522  3 Si 2.98-2.99, 2 In 3.10, 1 Tb 3.27
28 In 0.3770 0.9648 0.0000  2 In 2.94-3.05, 2 Tb 3.10
29 In 0.6230 0.6230 0.5877  2 In 2.94-3.05, 2 Tb 3.10
30 Si 0.5000 0.1534 0.6534  6 Tb 2.83-2.98
31 Tb 0.4349 0.6850 0.7499  3 Si 3.07-3.20, 4 In 3.37-3.44
32 Si 0.6197 0.6197 0.0000  8 Tb 3.07-3.34
33 In 0.3770 0.3770 0.4123  2 In 2.94-3.05, 2 Tb 3.10
34 Tb 0.0648 0.3150 0.7499  3 Si 3.07-3.20, 4 In 3.37-3.44
35 In 0.9648 0.3770 0.0000  2 In 2.94-3.05, 2 Tb 3.10
36 Tb 0.1678 0.1678 0.0000  8 In 3.36-3.44, 1 Si 3.45, 4 Tb 3.75
37 Tb 0.3332 0.3332 0.6664  2 Si 2.83
38 Tb 0.2472 0.8993 0.3478  3 Si 2.98-2.99, 2 In 3.10, 1 Tb 3.27
39 Tb 0.3150 0.5651 0.2501  3 Si 3.07-3.20, 4 In 3.37-3.44
40 In 0.9648 0.9648 0.5877  2 In 2.94-3.05, 2 Tb 3.10
41 Tb 0.8322 0.8322 0.0000  8 In 3.36-3.44, 1 Si 3.45, 4 Tb 3.75
42 Si 0.2500 0.7500 0.5000  8 Tb 2.99-3.07

Results
As for the total magnetization: 0.31 μB/cell. The calculation puts the total energy at -203.5 eV/cell.



Record 7
This record from OQMD describes crystalline NpGeOs at its relaxed geometry. The functional is GGA-PBE.

a b c (Å): 4.4389 4.4389 4.4389
angles (deg): 60.00 60.00 60.00
Last column: nearest neighbours and their distance in Å.
Fractional positions:
1 Np 0.7500 0.7500 0.7500  4 Os 2.72
2 Os 0.0000 0.0000 0.0000  4 Np 2.72, 4 Ge 2.72
3 Ge 0.2500 0.2500 0.2500  4 Os 2.72

Results
As for the total magnetization: 3.41 μB/cell. The calculation puts the total energy at -28.3 eV/cell.



Record 8
This record from OQMD describes crystalline AcYNb at its relaxed geometry. The functional is GGA-PBE.

a b c (Å): 5.2456 5.2456 5.2456
angles (deg): 60.00 60.00 60.00
Last column: nearest neighbours and their distance in Å.
Fractional positions:
1 Y 0.7500 0.7500 0.7500  4 Ac 3.21
2 Nb 0.2500 0.2500 0.2500  4 Ac 3.21
3 Ac 0.0000 0.0000 0.0000  4 Y 3.21, 4 Nb 3.21

Results
As for the total magnetization: 1.32 μB/cell. The energy above the most stable polymorph in this dataset is 1.726 eV/f.u. The calculated formation energy comes out at 1.3779 eV/atom.



Record 9
This record from OQMD describes crystalline NbCuSnPt at its relaxed geometry. The functional is GGA-PBE.

a b c (Å): 4.5894 4.5894 4.5894
angles (deg): 60.00 60.00 60.00
Last column: nearest neighbours and their distance in Å.
Fractional positions:
1 Nb 0.2500 0.2500 0.2500  4 Sn 2.81, 4 Pt 2.81
2 Cu 0.7500 0.7500 0.7500  4 Sn 2.81, 4 Pt 2.81
3 Pt 0.5000 0.5000 0.5000  4 Nb 2.81, 4 Cu 2.81
4 Sn 0.0000 0.0000 0.0000  4 Nb 2.81, 4 Cu 2.81

Results
As for the total magnetization: 0.26 μB/cell. The energy above the most stable polymorph in this dataset is 0.074 eV/f.u.



Record 10
This record from OQMD describes crystalline ThSbW at its relaxed geometry. The functional is GGA-PBE.

a b c (Å): 4.7867 4.7867 4.7867
angles (deg): 60.00 60.00 60.00
Last column: nearest neighbours and their distance in Å.
Fractional positions:
1 Sb 0.2500 0.2500 0.2500  4 W 2.93
2 W 0.0000 0.0000 0.0000  4 Th 2.93, 4 Sb 2.93
3 Th 0.7500 0.7500 0.7500  4 W 2.93

Results
As for the total magnetization: 0.64 μB/cell. The energy above the most stable polymorph in this dataset is 0.000 eV/f.u.



Record 11
This record from OQMD describes crystalline ZrBeAsO at its relaxed geometry. The functional is GGA-PBE.

a b c (Å): 3.6849 3.6849 9.6464
angles (deg): 90.00 90.00 90.00
Last column: nearest neighbours and their distance in Å.
Fractional positions:
1 As 0.5000 0.0000 0.7162  1 Be 2.64, 4 Zr 2.78
2 Zr 0.5000 0.5000 0.5000  4 Zr 2.61, 4 As 2.78
3 Be 0.5000 0.0000 0.9897  4 O 1.85
4 Be 0.0000 0.5000 0.0103  4 O 1.85
5 As 0.0000 0.5000 0.2838  1 Be 2.64, 4 Zr 2.78
6 O 0.0000 0.0000 0.0000  4 Be 1.85
7 Zr 0.0000 0.0000 0.5000  4 Zr 2.61, 4 As 2.78
8 O 0.5000 0.5000 0.0000  4 Be 1.85

Results
As for the total magnetization: 0.00 μB/cell. The energy above the most stable polymorph in this dataset is 3.089 eV/f.u.



Record 12
This record from OQMD describes crystalline Y3CuTe5 at its relaxed geometry. The functional is GGA-PBE.

a b c (Å): 8.6844 8.6844 4.1422
angles (deg): 90.00 90.00 120.00
Last column: nearest neighbours and their distance in Å.
Fractional positions:
1 Te 0.7125 0.0000 0.0000  1 Cu 2.50
2 Y 0.7204 0.7204 0.5000  6 Te 3.15-3.22, 2 Cu 3.19
3 Te 0.0000 0.7125 0.0000  1 Cu 2.50
4 Y 0.2796 0.0000 0.5000  6 Te 3.15-3.22, 2 Cu 3.19
5 Te 0.3333 0.6667 0.5000  3 Y 3.15
6 Y 0.0000 0.2796 0.5000  6 Te 3.15-3.22, 2 Cu 3.19
7 Te 0.6667 0.3333 0.5000  3 Y 3.15
8 Cu 0.0000 0.0000 0.0000  3 Te 2.50
9 Te 0.2875 0.2875 0.0000  1 Cu 2.50

Results
As for the total magnetization: 0.46 μB/cell. The energy above the most stable polymorph in this dataset is 0.000 eV/f.u.